Record 1
{"formula": "GeSbF", "functional": "PBE", "state": "optimized geometry", "n_ef_per_ev_fu": 0.25, "total_magnetization_mub_per_cell": 0.00, "final_energy_ev_per_cell": -26.52, "space_group": "P-1 (2)", "lattice_angstrom": [[-4.084, 1.539, -0.767], [-1.420, -1.871, 3.824], [0.020, 7.445, 2.134]], "species": ["F", "F", "Ge", "Ge", "Sb", "Sb"], "frac_coords": [[0.658, 0.169, 0.185], [0.342, 0.831, 0.815], [0.681, 0.569, 0.139], [0.319, 0.431, 0.861], [0.937, 0.286, 0.623], [0.063, 0.714, 0.377]]}


Record 2
{"formula": "TiAu", "functional": "PBE", "state": "optimized geometry", "formation_enthalpy_0k_ev_per_atom": -0.147, "n_ef_per_ev_fu": 1.79, "total_magnetization_mub_per_cell": 0.76, "space_group": "P-6m2 (187)", "lattice_angstrom": [[-2.937, 0.048, -0.447], [1.793, -1.204, -2.040], [-0.381, -4.060, 2.062]], "species": ["Au", "Ti"], "frac_coords": [[0.333, 0.667, 0.500], [0.000, 0.000, 0.000]]}


Copy entry 1 word for word.
{"formula": "GeSbF", "functional": "PBE", "state": "optimized geometry", "n_ef_per_ev_fu": 0.25, "total_magnetization_mub_per_cell": 0.00, "final_energy_ev_per_cell": -26.52, "space_group": "P-1 (2)", "lattice_angstrom": [[-4.084, 1.539, -0.767], [-1.420, -1.871, 3.824], [0.020, 7.445, 2.134]], "species": ["F", "F", "Ge", "Ge", "Sb", "Sb"], "frac_coords": [[0.658, 0.169, 0.185], [0.342, 0.831, 0.815], [0.681, 0.569, 0.139], [0.319, 0.431, 0.861], [0.937, 0.286, 0.623], [0.063, 0.714, 0.377]]}